[1]
Below is a geometry-optimized LiSiP2S structure, with properties calculated at the PBE-GGA level.

abc: 4.5162 4.5162 4.7371
angles: 90.00 90.00 90.00
With the nearest neighbours (Å) after each atom.
Element x y z (fractional)
Li: 0.0000 0.0000 0.0000  4 S 3.19, 8 P 3.27
Si: 0.5000 0.5000 0.5000  4 P 2.26, 2 S 2.37
P: 0.0000 0.5000 0.5000  2 Si 2.26
P: 0.5000 0.0000 0.5000  2 Si 2.26
S: 0.5000 0.5000 0.0000  2 Si 2.37

## Properties
Volume, Å³/cell: 96.6
ΔE_f (raw), eV per atom: 0.3498

---

[2]
Below is a geometry-optimized LiSnP2S structure, with properties calculated at the PBE-GGA level.

abc: 5.0955 5.0955 5.1709
angles: 90.00 90.00 90.00
With the nearest neighbours (Å) after each atom.
Element x y z (fractional)
Li: 0.0000 0.0000 0.0000  4 S 3.60, 8 P 3.63
Sn: 0.5000 0.5000 0.5000  4 P 2.55, 2 S 2.59
P: 0.0000 0.5000 0.5000  2 Sn 2.55
P: 0.5000 0.0000 0.5000  2 Sn 2.55
S: 0.5000 0.5000 0.0000  2 Sn 2.59

## Properties
Volume, Å³/cell: 134.3
ΔE_f (raw), eV per atom: 0.6172

---

[3]
Below is a geometry-optimized LiSnP2S structure, with properties calculated at the PBE-GGA level.

abc: 4.3448 4.3448 5.0779
angles: 90.00 90.00 90.00
With the nearest neighbours (Å) after each atom.
Element x y z (fractional)
Li: 0.0000 0.0000 0.0000  4 P 2.17
Sn: 0.5000 0.5000 0.5000  4 S 3.07, 8 P 3.34
P: 0.0000 0.5000 0.0000  2 Li 2.17
P: 0.5000 0.0000 0.0000  2 Li 2.17
S: 0.0000 0.0000 0.5000  2 Li 2.54

## Properties
Volume, Å³/cell: 95.9
ΔE_f (raw), eV per atom: 0.5368

---

[4]
Below is a geometry-optimized LiSnPS2 structure, with properties calculated at the PBE-GGA level.

abc: 5.1210 5.1210 5.0476
angles: 90.00 90.00 90.00
With the nearest neighbours (Å) after each atom.
Element x y z (fractional)
Li: 0.0000 0.0000 0.0000  8 S 3.60, 4 P 3.62
Sn: 0.5000 0.5000 0.5000  2 P 2.52, 4 S 2.56
P: 0.5000 0.5000 0.0000  2 Sn 2.52
S: 0.0000 0.5000 0.5000  2 Sn 2.56
S: 0.5000 0.0000 0.5000  2 Sn 2.56

## Properties
Volume, Å³/cell: 132.4
ΔE_f (raw), eV per atom: 0.3058

---

[5]
Below is a geometry-optimized Li10SnP2S12 structure, with properties calculated at the PBE-GGA level.

abc: 8.8110 8.8309 13.2377
angles: 89.61 89.95 89.93
With the nearest neighbours (Å) after each atom.
Element x y z (fractional)
Li: 0.0000 0.0000 0.0000  4 S 2.46-2.66
Li: 0.0037 0.5097 0.3249  4 S 2.54-2.78
Li: 0.0089 0.4964 0.8094  4 S 2.48-2.65
Li: 0.1877 0.8628 0.5180  3 S 2.41-2.51
Li: 0.2238 0.2915 0.0685  4 S 2.39-2.46
Li: 0.2313 0.7745 0.2700  4 S 2.44-2.62
Li: 0.2356 0.7641 0.7673  4 S 2.45-2.54
Li: 0.2518 0.2650 0.7511  4 S 2.45-2.61
Li: 0.2540 0.2834 0.4389  4 S 2.43-2.54
Li: 0.3080 0.7384 0.0162  4 S 2.43-2.65
Li: 0.4592 0.0538 0.2140  4 S 2.55-2.61
Li: 0.5019 0.9901 0.7097  5 S 2.60-2.84
Li: 0.6778 0.2726 0.6828  4 S 2.42-2.61
Li: 0.7027 0.7518 0.3953  4 S 2.41-2.69
Li: 0.7151 0.2722 0.4253  4 S 2.41-2.51
Li: 0.7198 0.3164 0.1492  4 S 2.41-2.69
Li: 0.7202 0.7707 0.1087  4 S 2.48-2.61
Li: 0.7400 0.6974 0.8452  4 S 2.44-2.61
Li: 0.7512 0.2664 0.9233  4 S 2.50-2.60
Li: 0.7654 0.7767 0.6039  4 S 2.40-2.53
Sn: 0.4911 0.0299 0.9485  4 S 2.41-2.43
Sn: 0.9905 0.5117 0.5767  4 S 2.38-2.46
P: 0.4666 0.5191 0.2562  4 S 2.04-2.08
P: 0.4920 0.0166 0.4500  4 S 2.05-2.08
P: 0.9828 0.5318 0.0760  4 S 2.05-2.08
P: 0.9884 0.0162 0.7628  4 S 2.04-2.07
S: 0.0083 0.2035 0.8554  1 P 2.07
S: 0.1551 0.5196 0.9713  1 P 2.06
S: 0.1843 0.0125 0.6761  1 P 2.07
S: 0.2132 0.5200 0.6813  1 Sn 2.40, 3 Li 2.45-2.48
S: 0.2764 0.0189 0.0621  1 Sn 2.42, 4 Li 2.45-2.60
S: 0.2865 0.0183 0.3729  1 P 2.08
S: 0.2949 0.5380 0.3599  1 P 2.05
S: 0.4474 0.3337 0.1658  1 P 2.04
S: 0.4608 0.7196 0.1729  1 P 2.08
S: 0.4809 0.7942 0.8563  1 Sn 2.42, 4 Li 2.44-2.65
S: 0.4915 0.2110 0.5358  1 P 2.07
S: 0.4999 0.8250 0.5390  1 P 2.06
S: 0.5031 0.2396 0.8315  1 Sn 2.41, 3 Li 2.47-2.51
S: 0.6664 0.0212 0.3475  1 P 2.05
S: 0.6746 0.5023 0.3248  1 P 2.05
S: 0.7146 0.0507 0.0554  1 Sn 2.43, 4 Li 2.57-2.66
S: 0.7728 0.5259 0.0049  1 P 2.08
S: 0.7761 0.5272 0.6952  4 Li 2.42-2.56, 1 Sn 2.46
S: 0.8012 0.0248 0.6730  1 P 2.04
S: 0.9592 0.7337 0.4691  3 Li 2.41-2.50, 1 Sn 2.43
S: 0.9811 0.3038 0.4636  1 Sn 2.38, 3 Li 2.41-2.58
S: 0.9900 0.7286 0.1589  1 P 2.06
S: 0.9915 0.8266 0.8552  1 P 2.07
S: 0.9975 0.3450 0.1686  1 P 2.05

## Properties
Volume, Å³/cell: 1030.0
ΔE_f (raw), eV per atom: -0.9554

---

[6]
Below is a geometry-optimized Li10SnP2S12 structure, with properties calculated at the PBE-GGA level.

abc: 8.8530 8.8530 12.8814
angles: 90.00 90.00 90.00
With the nearest neighbours (Å) after each atom.
Element x y z (fractional)
Li: 0.0000 0.0000 0.0000  6 S 2.66-2.81, 4 Li 2.90
Li: 0.0000 0.0000 0.5000  6 S 2.66-2.81, 4 Li 2.90
Li: 0.2157 0.2458 0.4970  3 S 2.41-2.59
Li: 0.2157 0.7542 0.4970  3 S 2.41-2.59
Li: 0.2282 0.2776 0.7490  3 S 2.44-2.48
Li: 0.2282 0.7224 0.7490  3 S 2.44-2.48
Li: 0.2458 0.2157 0.9970  3 S 2.41-2.59
Li: 0.2458 0.7843 0.9970  3 S 2.41-2.59
Li: 0.2776 0.2282 0.2490  3 S 2.44-2.48
Li: 0.2776 0.7718 0.2490  3 S 2.44-2.48
Li: 0.5000 0.5000 0.3914  6 S 2.61-2.73
Li: 0.5000 0.5000 0.8914  6 S 2.61-2.73
Li: 0.7224 0.2282 0.2490  3 S 2.44-2.48
Li: 0.7224 0.7718 0.2490  3 S 2.44-2.48
Li: 0.7542 0.2157 0.9970  3 S 2.41-2.59
Li: 0.7542 0.7843 0.9970  3 S 2.41-2.59
Li: 0.7718 0.2776 0.7490  3 S 2.44-2.48
Li: 0.7718 0.7224 0.7490  3 S 2.44-2.48
Li: 0.7843 0.2458 0.4970  3 S 2.41-2.59
Li: 0.7843 0.7542 0.4970  3 S 2.41-2.59
Sn: 0.0000 0.0000 0.2543  4 S 2.41
Sn: 0.0000 0.0000 0.7543  4 S 2.41
P: 0.0000 0.5000 0.9534  4 S 2.05-2.07
P: 0.5000 0.0000 0.4534  4 S 2.05-2.07
P: 0.5000 0.5000 0.1361  4 S 2.05-2.07
P: 0.5000 0.5000 0.6361  4 S 2.05-2.07
S: 0.0000 0.2216 0.6457  1 Sn 2.41, 2 Li 2.47
S: 0.0000 0.2229 0.3621  1 Sn 2.41, 3 Li 2.59-2.66
S: 0.0000 0.3104 0.0450  1 P 2.05
S: 0.0000 0.6896 0.0450  1 P 2.05
S: 0.0000 0.7771 0.3621  1 Sn 2.41, 3 Li 2.59-2.66
S: 0.0000 0.7784 0.6457  1 Sn 2.41, 2 Li 2.47
S: 0.1938 0.5000 0.8640  1 P 2.07
S: 0.2216 0.0000 0.1457  1 Sn 2.41, 2 Li 2.47
S: 0.2229 0.0000 0.8621  1 Sn 2.41, 3 Li 2.59-2.66
S: 0.3078 0.5000 0.5446  1 P 2.07
S: 0.3104 0.0000 0.5450  1 P 2.05
S: 0.3101 0.5000 0.2269  1 P 2.05
S: 0.5000 0.1938 0.3640  1 P 2.07
S: 0.5000 0.3078 0.0446  1 P 2.07
S: 0.5000 0.3101 0.7269  1 P 2.05
S: 0.5000 0.6899 0.7269  1 P 2.05
S: 0.5000 0.6922 0.0446  1 P 2.07
S: 0.5000 0.8062 0.3640  1 P 2.07
S: 0.6896 0.0000 0.5450  1 P 2.05
S: 0.6899 0.5000 0.2269  1 P 2.05
S: 0.6922 0.5000 0.5446  1 P 2.07
S: 0.7771 0.0000 0.8621  1 Sn 2.41, 3 Li 2.59-2.66
S: 0.7784 0.0000 0.1457  1 Sn 2.41, 2 Li 2.47
S: 0.8062 0.5000 0.8640  1 P 2.07

## Properties
Volume, Å³/cell: 1009.6
ΔE_f (raw), eV per atom: -0.9404